VASP calculation (PBE) on a relaxed Dy7Y3 crystal.

POSCAR file:
```
Dy7Y3
1.0
4.822 0.000 -1.358
-0.438 6.932 -1.555
0.040 0.286 9.388
Dy Y
7 3
Cartesian
3.488 6.413 3.146 Dy
0.937 0.804 3.330 Dy
1.657 5.081 5.885 Dy
2.769 2.137 0.590 Dy
1.873 1.614 6.655 Dy
2.552 5.604 -0.180 Dy
-0.219 3.466 -0.778 Dy
0.000 0.000 0.000 Y
0.716 4.277 2.545 Y
3.709 2.941 3.931 Y
```

Summary:
- Formation energy: 0.018 eV/atom
- DOS(E_F): 12.7 states/eV/f.u.
- Electronic total energy: -5.14 eV/atom
- Total magnetic moment: 0.000 μB per formula unit

VASP calculation (PBE) on a relaxed DyY2 crystal.

POSCAR file:
```
DyY2
1.0
6.599 0.000 0.000
3.299 5.715 0.000
3.299 1.905 5.388
Dy Y
2 4
Cartesian
3.299 1.905 1.347 Dy
0.000 0.000 0.000 Dy
8.248 4.762 3.367 Y
6.599 1.905 3.367 Y
4.949 4.762 3.367 Y
6.599 3.810 0.673 Y
```

Summary:
- Formation energy: 0.290 eV/atom
- DOS(E_F): 5.5 states/eV/f.u.
- Electronic total energy: -5.55 eV/atom
- Total magnetic moment: 0.289 μB per formula unit

VASP calculation (PBE) on a relaxed Dy8Y3 crystal.

POSCAR file:
```
Dy8Y3
1.0
-7.303 1.398 -2.023
1.799 -7.040 -2.567
0.263 -0.213 7.698
Dy Y
8 3
Cartesian
-4.717 -0.296 -1.632 Dy
-1.069 -0.102 4.883 Dy
-0.524 -5.558 4.741 Dy
-1.285 -1.435 0.762 Dy
-6.319 -0.993 3.568 Dy
-4.172 -5.753 -1.775 Dy
1.078 -4.861 -0.459 Dy
-3.956 -4.419 2.347 Dy
-3.520 0.593 2.838 Y
-2.752 -2.821 -2.295 Y
1.031 -3.626 2.566 Y
```

Summary:
- Formation energy: 0.394 eV/atom
- DOS(E_F): 14.2 states/eV/f.u.
- Electronic total energy: -4.72 eV/atom
- Total magnetic moment: 0.000 μB per formula unit

VASP calculation (PBE) on a relaxed DyY5 crystal.

POSCAR file:
```
DyY5
1.0
-1.939 0.898 -2.856
0.216 -3.352 -1.200
-12.665 -3.500 7.498
Y Dy
5 1
Cartesian
0.000 0.000 0.000 Y
-4.238 -1.171 2.509 Y
-2.978 -1.812 -0.775 Y
-8.426 -2.328 4.989 Y
-11.410 -4.142 4.217 Y
-7.194 -2.977 1.721 Dy
```

Summary:
- Formation energy: 0.023 eV/atom
- DOS(E_F): 8.1 states/eV/f.u.
- Electronic total energy: -6.13 eV/atom
- Total magnetic moment: 0.000 μB per formula unit

VASP calculation (PBE) on a relaxed DyY crystal.

POSCAR file:
```
DyY
1.0
3.542 0.000 0.000
0.000 5.497 0.481
-1.771 -0.575 6.540
Y Dy
2 2
Cartesian
1.771 3.747 4.631 Y
0.000 1.176 2.390 Y
0.000 0.873 5.818 Dy
1.771 4.049 1.202 Dy
```

Summary:
- Formation energy: 0.038 eV/atom
- DOS(E_F): 3.9 states/eV/f.u.
- Electronic total energy: -5.49 eV/atom
- Total magnetic moment: 0.000 μB per formula unit

VASP calculation (PBE) on a relaxed Dy6Y crystal.

POSCAR file:
```
Dy6Y
1.0
6.944 0.000 0.000
-2.315 6.547 0.000
-2.315 -3.274 5.670
Dy Y
6 1
Cartesian
1.157 4.092 1.418 Dy
1.157 -0.818 4.253 Dy
3.472 0.000 2.835 Dy
-1.157 3.274 2.835 Dy
3.472 2.455 1.418 Dy
-1.157 0.818 4.253 Dy
0.000 0.000 0.000 Y
```

Summary:
- Formation energy: 1.470 eV/atom
- DOS(E_F): 6.4 states/eV/f.u.
- Electronic total energy: -3.40 eV/atom
- Total magnetic moment: 0.001 μB per formula unit

Number 1: offset from the most stable computed form 0.00 eV per formula unit. Number 2: offset from the most stable computed form 0.87 eV per formula unit. Number 3: offset from the most stable computed form 0.00 eV per formula unit. Number 4: offset from the most stable computed form 0.00 eV per formula unit. Number 5: offset from the most stable computed form 0.07 eV per formula unit. Number 6: offset from the most stable computed form 8.50 eV per formula unit.